# 1
The following is a DFT calculation (PBE) of a relaxed structure of VTe4As.

The structure belongs to space group P-1 (No. 2); the cell edges are 3.577, 7.182 and 7.279 Å and the angles 97.82°, 104.08° and 90.00°. The distinct sites, in fractional coordinates, are V at (0.000, 0.000, 0.000), Te at (0.118, 0.332, 0.239), Te at (0.385, 0.141, 0.767) and As at (0.500, 0.500, 0.000).

As for the uncorrected formation energy: -118 meV per atom. The crystal system is triclinic. The total energy is -4.507 eV/atom.

=====

# 2
The following is a DFT calculation (PBE) of a relaxed structure of Sr2HfPaAs4.

The structure belongs to space group P2/m (No. 10); the cell edges are 7.112, 4.151 and 7.496 Å and the angles 90.00°, 108.52° and 90.00°. The distinct sites, in fractional coordinates, are Sr at (0.000, 0.000, 0.000), Sr at (0.500, 0.500, 0.000), Hf at (0.000, 0.500, 0.500), Pa at (0.500, 0.000, 0.500), As at (0.231, 0.000, 0.712) and As at (0.253, 0.500, 0.284).

The crystal system is monoclinic. The calculation puts the formation energy at -1.13 eV/atom. The total energy is -6.304 eV/atom.

=====

# 3
The following is a DFT calculation (PBE) of a relaxed structure of BaSe3N.

The structure belongs to space group Pm-3m (No. 221); the cell edges are 6.502, 6.502 and 6.502 Å and the angles 90.00°, 90.00° and 90.00°. The distinct sites, in fractional coordinates, are Ba at (0.000, 0.000, 0.000), Se at (0.000, 0.000, 0.500) and N at (0.500, 0.500, 0.500).

As for the uncorrected formation energy: 1166 meV per atom. The crystal system is cubic. The calculation puts the offset from the most stable computed form at 5.87 eV/f.u. The total energy is -2.975 eV/atom.